Entry 1:
The following is a PBE-GGA calculation of crystalline Pa2MnCo3Ni12 at its relaxed geometry, from Alexandria via LeMat-Bulk.

Unit cell a=8.5698 b=8.5698 c=8.5698 alpha=42.35 beta=42.35 gamma=42.35
Closest atoms and distances in Å follow each position.
Element x y z (fractional)
1 Pa 0.6403 0.6403 0.6403  6 Ni 2.53-2.59
2 Pa 0.3597 0.3597 0.3597  6 Ni 2.53-2.59
3 Mn 0.0000 0.0000 0.0000  6 Ni 2.42
4 Co 0.5000 0.0000 0.0000  6 Ni 2.30-2.54
5 Co 0.0000 0.5000 0.0000  6 Ni 2.30-2.54
6 Co 0.0000 0.0000 0.5000  6 Ni 2.30-2.54
7 Ni 0.4180 0.4180 0.8029  2 Co 2.30, 6 Ni 2.38-2.56
8 Ni 0.8724 0.8724 0.4308  1 Mn 2.42, 2 Ni 2.44, 1 Pa 2.53, 1 Co 2.54
9 Ni 0.4308 0.8724 0.8724  1 Mn 2.42, 2 Ni 2.44, 1 Pa 2.53, 1 Co 2.54
10 Ni 0.8029 0.4180 0.4180  2 Co 2.30, 6 Ni 2.38-2.56
11 Ni 0.8724 0.4308 0.8724  1 Mn 2.42, 2 Ni 2.44, 1 Pa 2.53, 1 Co 2.54
12 Ni 0.4180 0.8029 0.4180  2 Co 2.30, 6 Ni 2.38-2.56
13 Ni 0.5820 0.5820 0.1971  2 Co 2.30, 6 Ni 2.38-2.56
14 Ni 0.1276 0.1276 0.5692  1 Mn 2.42, 2 Ni 2.44, 1 Pa 2.53, 1 Co 2.54
15 Ni 0.5692 0.1276 0.1276  1 Mn 2.42, 2 Ni 2.44, 1 Pa 2.53, 1 Co 2.54
16 Ni 0.1971 0.5820 0.5820  2 Co 2.30, 6 Ni 2.38-2.56
17 Ni 0.1276 0.5692 0.1276  1 Mn 2.42, 2 Ni 2.44, 1 Pa 2.53, 1 Co 2.54
18 Ni 0.5820 0.1971 0.5820  2 Co 2.30, 6 Ni 2.38-2.56

Output
D(E_F) = 21.56 states/eV/f.u.
DFT formation energy = 0.247 eV per atom



Entry 2:
The following is a PBE-GGA calculation of crystalline PaMnCoNi at its relaxed geometry, from Alexandria via LeMat-Bulk.

Unit cell a=4.4545 b=4.4545 c=4.4545 alpha=60.00 beta=60.00 gamma=60.00
Closest atoms and distances in Å follow each position.
Element x y z (fractional)
1 Ni 0.2500 0.2500 0.2500  4 Mn 2.73, 4 Pa 2.73
2 Pa 0.5000 0.5000 0.5000  4 Co 2.73, 4 Ni 2.73
3 Co 0.7500 0.7500 0.7500  4 Pa 2.73, 4 Mn 2.73
4 Mn 0.0000 0.0000 0.0000  4 Co 2.73, 4 Ni 2.73

Output
D(E_F) = 6.04 states/eV/f.u.
DFT formation energy = -0.042 eV per atom



Entry 3:
The following is a PBE-GGA calculation of crystalline MnCoNiPb2 at its relaxed geometry, from Alexandria via LeMat-Bulk.

Unit cell a=4.9528 b=4.6866 c=4.9528 alpha=90.00 beta=90.00 gamma=90.00
Closest atoms and distances in Å follow each position.
Element x y z (fractional)
1 Pb 0.0000 0.0000 0.5000  2 Ni 2.48
2 Pb 0.5000 0.0000 0.0000  2 Ni 2.48
3 Ni 0.0000 0.0000 0.0000  2 Mn 2.34, 4 Pb 2.48
4 Mn 0.0000 0.5000 0.0000  2 Ni 2.34
5 Co 0.5000 0.5000 0.5000  8 Pb 3.41, 4 Mn 3.50

Output
D(E_F) = 6.77 states/eV/f.u.
DFT formation energy = 0.881 eV per atom



Entry 4:
The following is a PBE-GGA calculation of crystalline MnCoNiRu at its relaxed geometry, from Alexandria via LeMat-Bulk.

Unit cell a=4.1291 b=4.1291 c=4.1291 alpha=60.00 beta=60.00 gamma=60.00
Closest atoms and distances in Å follow each position.
Element x y z (fractional)
1 Ru 0.7500 0.7500 0.7500  4 Mn 2.53, 4 Co 2.53
2 Mn 0.5000 0.5000 0.5000  4 Ni 2.53, 4 Ru 2.53
3 Co 0.0000 0.0000 0.0000  4 Ni 2.53, 4 Ru 2.53
4 Ni 0.2500 0.2500 0.2500  4 Co 2.53, 4 Mn 2.53

Output
D(E_F) = 9.48 states/eV/f.u.
DFT formation energy = 0.205 eV per atom



Entry 5:
The following is a PBE-GGA calculation of crystalline MnCo4NiS8 at its relaxed geometry, from Alexandria via LeMat-Bulk.

Unit cell a=6.7033 b=6.7033 c=6.5772 alpha=59.36 beta=59.36 gamma=60.00
Closest atoms and distances in Å follow each position.
Element x y z (fractional)
1 Mn 0.9970 0.9970 0.0091  6 S 2.32-2.33
2 Co 0.6249 0.6249 0.1253  4 S 2.13-2.14
3 Co 0.0009 0.5008 0.4975  6 S 2.26-2.28
4 Co 0.5008 0.0009 0.4975  6 S 2.26-2.28
5 Co 0.0009 0.0009 0.4975  6 S 2.26-2.28
6 Ni 0.3765 0.3765 0.8706  4 S 2.17
7 S 0.2450 0.7742 0.7357  1 Ni 2.17, 2 Co 2.27, 1 Mn 2.33
8 S 0.7742 0.2450 0.7357  1 Ni 2.17, 2 Co 2.27, 1 Mn 2.33
9 S 0.2450 0.2450 0.7357  1 Ni 2.17, 2 Co 2.27, 1 Mn 2.33
10 S 0.2407 0.2407 0.2780  1 Ni 2.17, 3 Co 2.26
11 S 0.7502 0.2349 0.2646  3 Co 2.13-2.27, 1 Mn 2.32
12 S 0.2349 0.7502 0.2646  3 Co 2.13-2.27, 1 Mn 2.32
13 S 0.7502 0.7502 0.2646  3 Co 2.13-2.27, 1 Mn 2.32
14 S 0.7588 0.7588 0.7235  4 Co 2.14-2.28

Output
D(E_F) = 8.58 states/eV/f.u.
ΔE_f (raw) = -6.5 eV per formula unit



Entry 6:
The following is a PBE-GGA calculation of crystalline MnCoNi2S6 at its relaxed geometry, from Alexandria via LeMat-Bulk.

Unit cell a=6.1023 b=8.2130 c=8.2130 alpha=89.08 beta=68.59 gamma=68.59
Closest atoms and distances in Å follow each position.
Element x y z (fractional)
1 Mn 0.2500 0.9118 0.0882  6 S 2.34-2.51
2 Mn 0.7500 0.0882 0.9118  6 S 2.34-2.51
3 Co 0.2500 0.2009 0.7991  4 S 2.17-2.19
4 Co 0.7500 0.7991 0.2009  4 S 2.17-2.19
5 Ni 0.3919 0.7714 0.5484  4 S 2.17-2.21
6 Ni 0.1081 0.4516 0.2286  4 S 2.17-2.21
7 Ni 0.6081 0.2286 0.4516  4 S 2.17-2.21
8 Ni 0.8919 0.5484 0.7714  4 S 2.17-2.21
9 S 0.1955 0.9523 0.7996  1 Co 2.19, 1 Ni 2.21, 1 Mn 2.34
10 S 0.3045 0.2004 0.0477  1 Co 2.19, 1 Ni 2.21, 1 Mn 2.34
11 S 0.8045 0.0477 0.2004  1 Co 2.19, 1 Ni 2.21, 1 Mn 2.34
12 S 0.6955 0.7996 0.9523  1 Co 2.19, 1 Ni 2.21, 1 Mn 2.34
13 S 0.3398 0.9290 0.3414  1 Ni 2.17, 1 Co 2.17, 1 Mn 2.35
14 S 0.1602 0.6586 0.0710  1 Ni 2.17, 1 Co 2.17, 1 Mn 2.35
15 S 0.6602 0.0710 0.6586  1 Ni 2.17, 1 Co 2.17, 1 Mn 2.35
16 S 0.8398 0.3414 0.9290  1 Ni 2.17, 1 Co 2.17, 1 Mn 2.35
17 S 0.1296 0.6443 0.5558  1 S 2.03, 2 Ni 2.19
18 S 0.3704 0.4442 0.3557  1 S 2.03, 2 Ni 2.19
19 S 0.8704 0.3557 0.4442  1 S 2.03, 2 Ni 2.19
20 S 0.6296 0.5558 0.6443  1 S 2.03, 2 Ni 2.19

Output
D(E_F) = 7.75 states/eV/f.u.
ΔE_f (raw) = -2.1 eV per formula unit



Entry 7:
The following is a PBE-GGA calculation of crystalline ScMnCoNi at its relaxed geometry, from Alexandria via LeMat-Bulk.

Unit cell a=4.2704 b=4.2704 c=4.2704 alpha=60.00 beta=60.00 gamma=60.00
Closest atoms and distances in Å follow each position.
Element x y z (fractional)
1 Sc 0.0000 0.0000 0.0000  4 Co 2.62, 4 Ni 2.62
2 Ni 0.2500 0.2500 0.2500  4 Mn 2.62, 4 Sc 2.62
3 Mn 0.5000 0.5000 0.5000  4 Co 2.62, 4 Ni 2.62
4 Co 0.7500 0.7500 0.7500  4 Mn 2.62, 4 Sc 2.62

Output
D(E_F) = 2.10 states/eV/f.u.
DFT formation energy = -0.217 eV per atom



Entry 8:
The following is a PBE-GGA calculation of crystalline MnCoNi2Se6 at its relaxed geometry, from Alexandria via LeMat-Bulk.

Unit cell a=6.2136 b=7.8455 c=7.8455 alpha=93.75 beta=76.69 gamma=76.69
Closest atoms and distances in Å follow each position.
Element x y z (fractional)
1 Mn 0.2500 0.9223 0.0777  6 Se 2.44-2.50
2 Mn 0.7500 0.0777 0.9223  6 Se 2.44-2.50
3 Co 0.2500 0.2308 0.7692  6 Se 2.38-2.49
4 Co 0.7500 0.7692 0.2308  6 Se 2.38-2.49
5 Ni 0.2802 0.7112 0.5340  5 Se 2.33-2.45
6 Ni 0.2198 0.4660 0.2888  5 Se 2.33-2.45
7 Ni 0.7198 0.2888 0.4660  5 Se 2.33-2.45
8 Ni 0.7802 0.5340 0.7112  5 Se 2.33-2.45
9 Se 0.1612 0.9446 0.7842  1 Co 2.44, 1 Ni 2.45, 2 Mn 2.48-2.50
10 Se 0.3388 0.2158 0.0554  1 Co 2.44, 1 Ni 2.45, 2 Mn 2.48-2.50
11 Se 0.8388 0.0554 0.2158  1 Co 2.44, 1 Ni 2.45, 2 Mn 2.48-2.50
12 Se 0.6612 0.7842 0.9446  1 Co 2.44, 1 Ni 2.45, 2 Mn 2.48-2.50
13 Se 0.3624 0.9256 0.3558  1 Ni 2.33, 1 Co 2.38, 1 Mn 2.44
14 Se 0.1376 0.6442 0.0744  1 Ni 2.33, 1 Co 2.38, 1 Mn 2.44
15 Se 0.6376 0.0744 0.6442  1 Ni 2.33, 1 Co 2.38, 1 Mn 2.44
16 Se 0.8624 0.3558 0.9256  1 Ni 2.33, 1 Co 2.38, 1 Mn 2.44
17 Se 0.9153 0.6987 0.4866  3 Ni 2.37-2.45, 1 Co 2.49
18 Se 0.5847 0.5134 0.3013  3 Ni 2.37-2.45, 1 Co 2.49
19 Se 0.0847 0.3013 0.5134  3 Ni 2.37-2.45, 1 Co 2.49
20 Se 0.4153 0.4866 0.6987  3 Ni 2.37-2.45, 1 Co 2.49

Output
D(E_F) = 6.81 states/eV/f.u.
ΔE_f (raw) = -2.6 eV per formula unit